A plane-wave DFT calculation with PBE-GGA was carried out for crystalline Sr3Li2 at its relaxed geometry.

Output
- formation energy from the elements (meV per atom) = 118
- Fermi-level density of states (states/eV/f.u.) = 5.534
- final energy (eV per cell) = -16.57
- M_tot (μB/f.u.) = 0.00
- density (Mg/m³) = 2.11

Lattice parameters (Å, degrees): 8.041 8.041 9.056 63.65 63.65 60.00
Atoms (fractional coordinates):
Li 0.808 0.808 0.575
Li 0.692 0.692 0.925
Sr 0.750 0.329 0.750
Sr 0.329 0.171 0.750
Li 0.308 0.308 0.075
Sr 0.250 0.671 0.250
Sr 0.829 0.250 0.250
Sr 0.171 0.750 0.750
Sr 0.671 0.829 0.250
Li 0.192 0.192 0.425